Entry 1:
{"formula": "Ba2EuNbO6", "functional": "GGA-PBEsol", "state": "relaxed", "m_tot_mub_per_fu": 6.000, "cell": [[0.0000, 4.2671, 4.2671], [4.2671, 0.0000, 4.2671], [4.2671, 4.2671, 0.0000]], "species": ["Ba", "Ba", "Eu", "Nb", "O", "O", "O", "O", "O", "O"], "frac_coords": [[0.2500, 0.2500, 0.2500], [0.7500, 0.7500, 0.7500], [0.0000, 0.0000, 0.0000], [0.5000, 0.5000, 0.5000], [0.2651, 0.2651, 0.7349], [0.2651, 0.7349, 0.2651], [0.2651, 0.7349, 0.7349], [0.7349, 0.2651, 0.2651], [0.7349, 0.2651, 0.7349], [0.7349, 0.7349, 0.2651]]}

=====

Entry 2:
{"formula": "BaEu2NiO5", "functional": "GGA-PBEsol", "state": "relaxed", "m_tot_mub_per_fu": 13.498, "cell": [[-1.9042, 2.8934, 5.5967], [1.9042, -2.8934, 5.5967], [1.9042, 2.8934, -5.5967]], "species": ["Ba", "Eu", "Eu", "Ni", "O", "O", "O", "O", "O"], "frac_coords": [[0.0000, 0.0000, 0.0000], [0.2938, 0.7938, 0.5000], [0.7062, 0.2062, 0.5000], [0.5000, 0.5000, 0.0000], [0.1300, 0.3645, 0.7655], [0.4011, 0.6355, 0.7655], [0.5000, 0.0000, 0.5000], [0.5989, 0.3645, 0.2345], [0.8700, 0.6355, 0.2345]]}

=====

Entry 3:
{"formula": "BaEuO2", "functional": "GGA-PBEsol", "state": "relaxed", "m_tot_mub_per_fu": 6.844, "cell": [[1.8310, 1.0571, 6.1483], [-1.8310, 1.0571, 6.1483], [0.0000, -2.1142, 6.1483]], "species": ["Ba", "Eu", "O", "O"], "frac_coords": [[0.0000, 0.0000, 0.0000], [0.5000, 0.5000, 0.5000], [0.2380, 0.2380, 0.2380], [0.7620, 0.7620, 0.7620]]}

=====

| no. | raw formation energy (eV per atom) | ρ (g/cm³) | final energy (eV per atom) |
| --- | --- | --- | --- |
| 1 | -2.85 | 6.58 | -8.5711 |
| 2 | -2.38 | 7.81 | -8.5703 |
| 3 | -2.68 | 7.47 | -8.4802 |